1.
First-principles (PBE-GGA) data for a relaxed Be2OsRh crystal, as listed in Alexandria.

abc: 2.8031 4.5184 3.6983
angles: 90.00 90.00 90.00
With the nearest neighbours (Å) after each atom.
Element x y z (fractional)
Be (0.5000, 0.5000, 0.0000)  4 Rh 2.32
Be (0.0000, 0.0000, 0.0000)  4 Os 2.32
Os (0.5000, 0.0000, 0.5000)  4 Be 2.32
Rh (0.0000, 0.5000, 0.5000)  4 Be 2.32

Properties
VASP energy, eV per atom: -6.570


2.
First-principles (PBE-GGA) data for a relaxed Be2Os2Rh crystal, as listed in Alexandria.

abc: 6.8150 6.8150 2.6865
angles: 90.00 90.00 90.00
With the nearest neighbours (Å) after each atom.
Element x y z (fractional)
Os (0.1291, 0.3709, 0.0000)  6 Be 2.38-2.44, 1 Os 2.49
Os (0.6291, 0.1291, 0.0000)  6 Be 2.38-2.44, 1 Os 2.49
Os (0.3709, 0.8709, 0.0000)  6 Be 2.38-2.44, 1 Os 2.49
Os (0.8709, 0.6291, 0.0000)  6 Be 2.38-2.44, 1 Os 2.49
Be (0.3325, 0.1675, 0.5000)  6 Os 2.38-2.44
Be (0.8325, 0.3325, 0.5000)  6 Os 2.38-2.44
Be (0.1675, 0.6675, 0.5000)  6 Os 2.38-2.44
Be (0.6675, 0.8325, 0.5000)  6 Os 2.38-2.44
Rh (0.0000, 0.0000, 0.0000)  4 Os 2.68, 2 Rh 2.69, 8 Be 2.87
Rh (0.5000, 0.5000, 0.0000)  4 Os 2.68, 2 Rh 2.69, 8 Be 2.87

Properties
VASP energy, eV per atom: -7.221


3.
First-principles (PBE-GGA) data for a relaxed Be2OsRh crystal, as listed in Alexandria.

abc: 4.0069 4.0069 2.7242
angles: 90.00 90.00 90.00
With the nearest neighbours (Å) after each atom.
Element x y z (fractional)
Rh (0.0000, 0.5000, 0.5000)  8 Be 2.42
Be (0.5000, 0.5000, 0.0000)  4 Os 2.42, 4 Rh 2.42
Be (0.0000, 0.0000, 0.0000)  4 Os 2.42, 4 Rh 2.42
Os (0.5000, 0.0000, 0.5000)  8 Be 2.42

Properties
VASP energy, eV per atom: -6.816


4.
First-principles (PBE-GGA) data for a relaxed Be2Os2Rh crystal, as listed in Alexandria.

abc: 4.0297 4.0297 4.9301
angles: 65.88 65.88 90.00
With the nearest neighbours (Å) after each atom.
Element x y z (fractional)
Os (0.6466, 0.6466, 0.7069)  4 Be 2.18, 1 Os 2.36
Os (0.3534, 0.3534, 0.2931)  4 Be 2.18, 1 Os 2.36
Rh (0.0000, 0.0000, 0.0000)  10 Os 2.84-3.08, 8 Be 2.85
Be (0.7500, 0.2500, 0.5000)  4 Os 2.18
Be (0.2500, 0.7500, 0.5000)  4 Os 2.18

Properties
VASP energy, eV per atom: -6.952


| no. | E above lowest polymorph (meV/atom) | formation energy from the elements (eV/atom) |
| --- | --- | --- |
| 1 | 245.8 | -0.06 |
| 2 | 334.3 | 0.23 |
| 3 | 0.0 | -0.31 |
| 4 | 602.6 | 0.50 |